(1)
Computed, not measured: Ga2SbF8 after structural relaxation at the GGA-PBE level of DFT.

For the uncorrected formation energy, the calculation gives -2.235 eV per atom. The value obtained for the electronic total energy is -99.46 eV/cell. The value obtained for the spin magnetization is 1.0 μB/f.u. The calculation puts the density of states at the Fermi level at 0.104 states/eV/atom.

The structure belongs to space group C2/m (No. 12); the cell edges are 8.3015, 6.3113 and 5.7849 Å and the angles 90.00°, 98.23° and 90.00°. The inequivalent atoms are Ga at (0.1814, 0.0000, 0.4497), Sb at (0.0000, 0.5000, 0.0000), F at (0.0620, 0.0000, 0.7053), F at (0.1414, 0.3115, 0.3643) and F at (0.2183, 0.5000, 0.8235).

---

(2)
Computed, not measured: GaSb2F after structural relaxation at the GGA-PBE level of DFT.

For the uncorrected formation energy, the calculation gives -0.488 eV per atom. The value obtained for the electronic total energy is -60.38 eV/cell. The value obtained for the spin magnetization is 0.0 μB/f.u. The calculation puts the density of states at the Fermi level at 0.399 states/eV/atom. The energy above the most stable polymorph in this dataset comes out at 0 meV/atom.

The structure belongs to space group Fm-3m (No. 225); the cell edges are 6.8208, 6.8208 and 6.8208 Å and the angles 90.00°, 90.00° and 90.00°. The inequivalent atoms are Ga at (0.0000, 0.0000, 0.0000), Sb at (0.2500, 0.2500, 0.2500) and F at (0.0000, 0.0000, 0.5000).

---

(3)
Computed, not measured: GaSbF2 after structural relaxation at the GGA-PBE level of DFT.

For the uncorrected formation energy, the calculation gives -1.384 eV per atom. The value obtained for the electronic total energy is -49.29 eV/cell. The value obtained for the spin magnetization is 0.0 μB/f.u. The calculation puts the density of states at the Fermi level at 0.156 states/eV/atom. The energy above the most stable polymorph in this dataset comes out at 0 meV/atom.

The structure belongs to space group R-3m (No. 166, hexagonal axes); the cell edges are 3.4330, 3.4330 and 23.2042 Å and the angles 90.00°, 90.00° and 120.00°. The inequivalent atoms are Ga at (0.0000, 0.0000, 0.0000), Sb at (0.0000, 0.0000, 0.5000) and F at (0.0000, 0.0000, 0.4041).

---

(4)
Computed, not measured: Ga2Sb2F after structural relaxation at the GGA-PBE level of DFT.

For the uncorrected formation energy, the calculation gives -0.552 eV per atom. The value obtained for the electronic total energy is -37.86 eV/cell. The value obtained for the spin magnetization is 0.0 μB/f.u. The calculation puts the density of states at the Fermi level at 0.269 states/eV/atom. The energy above the most stable polymorph in this dataset comes out at 0 meV/atom.

The structure belongs to space group P4/mbm (No. 127); the cell edges are 6.2851, 6.2851 and 5.4329 Å and the angles 90.00°, 90.00° and 90.00°. The inequivalent atoms are Ga at (0.1523, 0.3477, 0.0000), Sb at (0.2482, 0.2518, 0.5000) and F at (0.0000, 0.0000, 0.0000).

---

(5)
Computed, not measured: GaSbF2 after structural relaxation at the GGA-PBE level of DFT.

For the uncorrected formation energy, the calculation gives -1.213 eV per atom. The value obtained for the electronic total energy is -47.23 eV/cell. The value obtained for the spin magnetization is 0.0 μB/f.u. The calculation puts the density of states at the Fermi level at 0.226 states/eV/atom. The energy above the most stable polymorph in this dataset comes out at 171 meV/atom.

The structure belongs to space group R-3m (No. 166, hexagonal axes); the cell edges are 3.0940, 3.0940 and 24.8059 Å and the angles 90.00°, 90.00° and 120.00°. The inequivalent atoms are Ga at (0.0000, 0.0000, 0.0000), Sb at (0.0000, 0.0000, 0.5000) and F at (0.0000, 0.0000, 0.0892).

---

(6)
Computed, not measured: GaSbF2 after structural relaxation at the GGA-PBE level of DFT.

For the uncorrected formation energy, the calculation gives -1.090 eV per atom. The value obtained for the electronic total energy is -61.01 eV/cell. The value obtained for the spin magnetization is 0.0 μB/f.u. The calculation puts the density of states at the Fermi level at 0.011 states/eV/atom. The energy above the most stable polymorph in this dataset comes out at 294 meV/atom.

The structure belongs to space group I-42d (No. 122); the cell edges are 6.2367, 6.2367 and 8.8947 Å and the angles 90.00°, 90.00° and 90.00°. The inequivalent atoms are Ga at (0.0000, 0.0000, 0.0000), Sb at (0.0000, 0.0000, 0.5000) and F at (0.0366, 0.2500, 0.1250).

---

Copy entry 2 word for word.
Computed, not measured: GaSb2F after structural relaxation at the GGA-PBE level of DFT.

For the uncorrected formation energy, the calculation gives -0.488 eV per atom. The value obtained for the electronic total energy is -60.38 eV/cell. The value obtained for the spin magnetization is 0.0 μB/f.u. The calculation puts the density of states at the Fermi level at 0.399 states/eV/atom. The energy above the most stable polymorph in this dataset comes out at 0 meV/atom.

The structure belongs to space group Fm-3m (No. 225); the cell edges are 6.8208, 6.8208 and 6.8208 Å and the angles 90.00°, 90.00° and 90.00°. The inequivalent atoms are Ga at (0.0000, 0.0000, 0.0000), Sb at (0.2500, 0.2500, 0.2500) and F at (0.0000, 0.0000, 0.5000).